Entry 1:
This record from the Alexandria database describes a relaxed structure of ZrMnFeNi. The functional is PBE-GGA.

Calculated values
* space-group type: F-43m (216)
* raw total energy: -32.3 eV for the cell shown
* formation energy: -86 meV per atom
* size of the total moment: 4.897 μB per cell
* crystal system: cubic

a b c (Å): 4.3161 4.3161 4.3161
angles (deg): 60.00 60.00 60.00
Closest atoms and distances in Å follow each position.
Element x y z (fractional)
Mn1 0.0000 0.0000 0.0000  4 Fe 2.64, 4 Ni 2.64
Fe1 0.7500 0.7500 0.7500  4 Mn 2.64, 4 Zr 2.64
Ni1 0.2500 0.2500 0.2500  4 Mn 2.64, 4 Zr 2.64
Zr1 0.5000 0.5000 0.5000  4 Ni 2.64, 4 Fe 2.64

Entry 2:
This record from the Alexandria database describes a relaxed structure of ScFeMo2. The functional is PBE-GGA.

Calculated values
* space-group type: R3m (160)
* raw total energy: -35.0 eV for the cell shown
* polymorph energy (0 for the lowest one): 1.167 eV per formula unit
* formation energy: 358 meV per atom
* size of the total moment: 1.255 μB per cell
* crystal system: trigonal

a b c (Å): 8.9529 8.9529 8.9529
angles (deg): 18.71 18.71 18.71
Closest atoms and distances in Å follow each position.
Element x y z (fractional)
Sc1 0.4943 0.4943 0.4943  3 Fe 2.75, 6 Sc 2.91, 3 Mo 2.96
Mo1 0.2535 0.2535 0.2535  9 Mo 2.84-2.91, 3 Sc 2.96
Mo2 0.0070 0.0070 0.0070  3 Fe 2.53
Fe1 0.7452 0.7452 0.7452  3 Mo 2.53, 3 Sc 2.75

Entry 3:
This record from the Alexandria database describes a relaxed structure of ReW2. The functional is PBE-GGA.

Calculated values
* space-group type: Fm-3m (225)
* raw total energy: -144.1 eV for the cell shown
* polymorph energy (0 for the lowest one): 2.186 eV per formula unit
* formation energy: 777 meV per atom
* size of the total moment: 0.000 μB per cell
* crystal system: cubic

a b c (Å): 6.0775 6.0775 6.0775
angles (deg): 90.00 90.00 90.00
Closest atoms and distances in Å follow each position.
Element x y z (fractional)
Re1 0.0000 0.5000 0.5000  8 W 2.63
Re2 0.5000 0.5000 0.0000  8 W 2.63
Re3 0.5000 0.0000 0.5000  8 W 2.63
Re4 0.0000 0.0000 0.0000  8 W 2.63
W1 0.7500 0.2500 0.2500  4 Re 2.63
W2 0.7500 0.2500 0.7500  4 Re 2.63
W3 0.2500 0.7500 0.7500  4 Re 2.63
W4 0.2500 0.2500 0.2500  4 Re 2.63
W5 0.2500 0.7500 0.2500  4 Re 2.63
W6 0.2500 0.2500 0.7500  4 Re 2.63
W7 0.7500 0.7500 0.2500  4 Re 2.63
W8 0.7500 0.7500 0.7500  4 Re 2.63

Entry 4:
This record from the Alexandria database describes a relaxed structure of Al2TcNiTe. The functional is PBE-GGA.

Calculated values
* space-group type: P4/mmm (123)
* raw total energy: -24.8 eV for the cell shown
* size of the total moment: 2.529 μB per cell
* crystal system: tetragonal

a b c (Å): 4.4548 4.4548 4.8503
angles (deg): 90.00 90.00 90.00
Closest atoms and distances in Å follow each position.
Element x y z (fractional)
Tc1 0.0000 0.0000 0.5000  2 Ni 2.43
Al1 0.0000 0.5000 0.0000  2 Ni 2.23
Al2 0.5000 0.0000 0.0000  2 Ni 2.23
Ni1 0.0000 0.0000 0.0000  4 Al 2.23, 2 Tc 2.43
Te1 0.5000 0.5000 0.5000  4 Tc 3.15, 8 Al 3.29

Entry 5:
This record from the Alexandria database describes a relaxed structure of Ag2Pd3Au6. The functional is PBE-GGA.

Calculated values
* space-group type: I4/mmm (139)
* raw total energy: -39.4 eV for the cell shown
* polymorph energy (0 for the lowest one): 2.521 eV per formula unit
* formation energy: 142 meV per atom
* size of the total moment: 0.000 μB per cell
* crystal system: tetragonal

a b c (Å): 3.9347 3.9347 14.0090
angles (deg): 98.07 98.07 90.00
Closest atoms and distances in Å follow each position.
Element x y z (fractional)
Pd1 0.0000 0.0000 0.0000  8 Au 2.78
Pd2 0.8549 0.8549 0.7098  5 Au 2.68-2.82, 4 Ag 2.80
Pd3 0.1451 0.1451 0.2902  5 Au 2.68-2.82, 4 Ag 2.80
Au1 0.4286 0.9286 0.8572  4 Pd 2.78-2.82, 4 Au 2.78, 2 Ag 3.06
Au2 0.9286 0.4286 0.8572  4 Pd 2.78-2.82, 4 Au 2.78, 2 Ag 3.06
Au3 0.5714 0.0714 0.1428  4 Pd 2.78-2.82, 4 Au 2.78, 2 Ag 3.06
Au4 0.0714 0.5714 0.1428  4 Pd 2.78-2.82, 4 Au 2.78, 2 Ag 3.06
Au5 0.2426 0.2426 0.4852  1 Pd 2.68, 1 Ag 2.76, 4 Au 2.81
Au6 0.7574 0.7574 0.5148  1 Pd 2.68, 1 Ag 2.76, 4 Au 2.81
Ag1 0.6568 0.6568 0.3137  5 Au 2.76-3.06, 4 Pd 2.80
Ag2 0.3432 0.3432 0.6863  5 Au 2.76-3.06, 4 Pd 2.80

Entry 6:
This record from the Alexandria database describes a relaxed structure of AlCuAg2Se4. The functional is PBE-GGA.

Calculated values
* space-group type: I-4 (82)
* raw total energy: -30.0 eV for the cell shown
* size of the total moment: 0.000 μB per cell
* crystal system: tetragonal

a b c (Å): 5.8871 5.8884 7.0290
angles (deg): 114.76 114.75 90.00
Closest atoms and distances in Å follow each position.
Element x y z (fractional)
Ag1 0.2358 0.2359 0.4718  4 Se 2.63
Ag2 0.4859 0.9859 0.9718  4 Se 2.63
Al1 0.9859 0.4859 0.9718  4 Se 2.42
Cu1 0.7359 0.7359 0.4717  4 Se 2.41
Se1 0.3625 0.8303 0.2228  1 Cu 2.41, 1 Al 2.42, 2 Ag 2.63
Se2 0.6415 0.6116 0.7208  1 Cu 2.41, 1 Al 2.42, 2 Ag 2.63
Se3 0.0792 0.1091 0.7208  1 Cu 2.41, 1 Al 2.42, 2 Ag 2.63
Se4 0.8602 0.3925 0.2227  1 Cu 2.41, 1 Al 2.42, 2 Ag 2.63

Entry 7:
This record from the Alexandria database describes a relaxed structure of Cs2SrAg2Br7. The functional is PBE-GGA.

Calculated values
* space-group type: I4/mmm (139)
* raw total energy: -35.2 eV for the cell shown
* size of the total moment: 0.000 μB per cell
* crystal system: tetragonal

a b c (Å): 5.4845 5.4845 14.6147
angles (deg): 79.20 79.20 90.01
Closest atoms and distances in Å follow each position.
Element x y z (fractional)
Br1 0.4216 0.9217 0.1567  2 Ag 2.79
Br2 0.5784 0.0783 0.8433  2 Ag 2.79
Br3 0.9217 0.4216 0.1567  2 Ag 2.79
Br4 0.6927 0.6927 0.6143  1 Ag 2.70
Br5 0.0783 0.5784 0.8433  2 Ag 2.79
Br6 0.3073 0.3073 0.3857  1 Ag 2.70
Br7 0.5000 0.5000 0.0000  2 Ag 2.73
Ag1 0.4033 0.4033 0.1938  6 Br 2.70-2.79
Ag2 0.5967 0.5967 0.8062  6 Br 2.70-2.79
Sr1 0.0000 0.0000 0.0000  12 Br 3.52-3.88
Cs1 0.1771 0.1771 0.6454  9 Br 3.66-3.91
Cs2 0.8229 0.8229 0.3546  9 Br 3.66-3.91

Entry 8:
This record from the Alexandria database describes a relaxed structure of Zr2TcAsOs. The functional is PBE-GGA.

Calculated values
* space-group type: P4/mmm (123)
* raw total energy: -39.2 eV for the cell shown
* formation energy: 824 meV per atom
* size of the total moment: 1.454 μB per cell
* crystal system: tetragonal

a b c (Å): 5.0995 4.5090 5.0995
angles (deg): 90.00 90.00 90.00
Closest atoms and distances in Å follow each position.
Element x y z (fractional)
As1 0.0000 0.5000 0.0000  2 Os 2.25
Tc1 0.5000 0.5000 0.5000  8 Zr 3.40, 4 As 3.61
Zr1 0.0000 0.0000 0.5000  2 Os 2.55
Zr2 0.5000 0.0000 0.0000  2 Os 2.55
Os1 0.0000 0.0000 0.0000  2 As 2.25